## LiAgAs (SCAN)

Data for a PBEsol-optimized structure of LiAgAs.

Unit cell a=4.6741 b=4.6741 c=4.6741 alpha=136.04 beta=136.04 gamma=63.92
Last column: nearest neighbours and their distance in Å.
Sites, in units of the cell vectors:
Li1 0.0000 0.0000 0.0000  5 As 2.62-2.82, 5 Ag 2.66-2.80
Ag1 0.6645 0.6645 0.0000  5 As 2.65-2.80, 5 Li 2.66-2.80
As1 0.3301 0.3301 0.0000  5 Li 2.62-2.82, 5 Ag 2.65-2.80

The density of states at the Fermi level comes out at 0.58 states/eV/f.u. The formation energy comes out at -23.9 kJ/mol of atoms. The energy relative to the lowest polymorph listed for this composition comes out at 7.0 kJ per mole of atoms. The calculation puts the mass density at 6.49 g cm⁻³. The calculation puts the raw total energy at -0.66994 hartree per atom.

=====

## KAsRhSe2 (SCAN)

Data for a PBEsol-optimized structure of KAsRhSe2.

Unit cell a=5.1489 b=5.1489 c=4.5496 alpha=90.00 beta=90.00 gamma=90.00
Last column: nearest neighbours and their distance in Å.
Sites, in units of the cell vectors:
K1 0.0000 0.0000 0.0000  8 Se 3.44, 4 As 3.64
As1 0.5000 0.5000 0.0000  2 Rh 2.27
Rh1 0.5000 0.5000 0.5000  2 As 2.27
Se1 0.0000 0.5000 0.5000  2 Rh 2.57
Se2 0.5000 0.0000 0.5000  2 Rh 2.57

The density of states at the Fermi level comes out at 4.45 states/eV/f.u. Its uncorrected formation energy is -207 meV/atom. The calculation puts the mass density at 5.16 g cm⁻³. The calculation puts the raw total energy at -0.76057 hartree per atom.

=====

## Zn3Si5 (SCAN)

Data for a PBEsol-optimized structure of Zn3Si5.

Unit cell a=3.3542 b=3.3542 c=10.6498 alpha=90.00 beta=90.00 gamma=90.00
Last column: nearest neighbours and their distance in Å.
Sites, in units of the cell vectors:
Zn1 0.0000 0.0000 0.0000  10 Si 2.59-2.80
Zn2 0.5000 0.5000 0.3796  9 Si 2.56-2.78, 1 Zn 2.56
Zn3 0.5000 0.5000 0.6204  9 Si 2.56-2.78, 1 Zn 2.56
Si1 0.0000 0.0000 0.2432  5 Zn 2.59-2.78, 5 Si 2.62-2.73
Si2 0.0000 0.0000 0.5000  8 Zn 2.70, 2 Si 2.73
Si3 0.0000 0.0000 0.7568  5 Zn 2.59-2.78, 5 Si 2.62-2.73
Si4 0.5000 0.5000 0.1395  5 Zn 2.56-2.80, 4 Si 2.62
Si5 0.5000 0.5000 0.8605  5 Zn 2.56-2.80, 4 Si 2.62

The density of states at the Fermi level comes out at 2.80 states/eV/f.u. Its uncorrected formation energy is 523 meV/atom. The calculation puts the mass density at 4.67 g cm⁻³. The calculation puts the raw total energy at -0.39709 hartree per atom.

=====

## HAuSe (SCAN)

Data for a PBEsol-optimized structure of HAuSe.

Unit cell a=3.6999 b=6.1637 c=6.1867 alpha=64.51 beta=72.65 gamma=89.78
Last column: nearest neighbours and their distance in Å.
Sites, in units of the cell vectors:
H1 0.0548 0.0007 0.4359  1 H 0.77
H2 0.9452 0.9993 0.5641  1 H 0.77
Au1 0.0000 0.5000 0.0000  4 Se 2.49
Au2 0.5000 0.0000 0.0000  2 Se 2.40
Se1 0.3780 0.5657 0.2446  3 Au 2.40-2.49
Se2 0.6220 0.4343 0.7554  3 Au 2.40-2.49

The density of states at the Fermi level comes out at 0.07 states/eV/f.u. The calculation puts the mass density at 7.65 g cm⁻³. The calculation puts the raw total energy at -1.13839 hartree per atom.

=====

## Mg2ZnNi2 (SCAN)

Data for a PBEsol-optimized structure of Mg2ZnNi2.

Unit cell a=6.0947 b=6.0947 c=3.9284 alpha=90.00 beta=90.00 gamma=90.00
Last column: nearest neighbours and their distance in Å.
Sites, in units of the cell vectors:
Mg1 0.1693 0.3307 0.0000  6 Ni 2.60-2.70
Mg2 0.3307 0.8307 0.0000  6 Ni 2.60-2.70
Mg3 0.6693 0.1693 0.0000  6 Ni 2.60-2.70
Mg4 0.8307 0.6693 0.0000  6 Ni 2.60-2.70
Zn1 0.0000 0.0000 0.5000  4 Ni 2.38
Zn2 0.5000 0.5000 0.5000  4 Ni 2.38
Ni1 0.1334 0.6334 0.5000  1 Ni 2.30, 2 Zn 2.38
Ni2 0.3666 0.1334 0.5000  1 Ni 2.30, 2 Zn 2.38
Ni3 0.6334 0.8666 0.5000  1 Ni 2.30, 2 Zn 2.38
Ni4 0.8666 0.3666 0.5000  1 Ni 2.30, 2 Zn 2.38

The density of states at the Fermi level comes out at 3.31 states/eV/f.u. The formation energy comes out at -17.9 kJ/mol of atoms. The calculation puts the mass density at 5.27 g cm⁻³. The calculation puts the raw total energy at -0.41702 hartree per atom.

=====

## CrRuF3 (SCAN)

Data for a PBEsol-optimized structure of CrRuF3.

Unit cell a=4.1018 b=4.1018 c=4.1018 alpha=90.00 beta=90.00 gamma=90.00
Last column: nearest neighbours and their distance in Å.
Sites, in units of the cell vectors:
Cr1 0.0000 0.0000 0.0000  12 F 2.90
Ru1 0.5000 0.5000 0.5000  6 F 2.05
F1 0.0000 0.5000 0.5000  2 Ru 2.05
F2 0.5000 0.0000 0.5000  2 Ru 2.05
F3 0.5000 0.5000 0.0000  2 Ru 2.05

The density of states at the Fermi level comes out at 7.67 states/eV/f.u. Its uncorrected formation energy is -1040 meV/atom. The calculation puts the mass density at 5.05 g cm⁻³. The calculation puts the raw total energy at -0.50738 hartree per atom.

=====

## Ti2ReNiB (SCAN)

Data for a PBEsol-optimized structure of Ti2ReNiB.

Unit cell a=4.3100 b=4.3100 c=4.3662 alpha=90.00 beta=90.00 gamma=90.00
Last column: nearest neighbours and their distance in Å.
Sites, in units of the cell vectors:
Ti1 0.0000 0.5000 0.0000  2 Ni 2.15
Ti2 0.5000 0.0000 0.0000  2 Ni 2.15
Re1 0.0000 0.0000 0.5000  2 Ni 2.18
Ni1 0.0000 0.0000 0.0000  4 Ti 2.15, 2 Re 2.18
B1 0.5000 0.5000 0.5000  4 Re 3.05, 8 Ti 3.07

The density of states at the Fermi level comes out at 3.94 states/eV/f.u. The formation energy comes out at 127.3 kJ/mol of atoms. The calculation puts the mass density at 7.20 g cm⁻³. The calculation puts the raw total energy at -0.88317 hartree per atom.

=====

## TaTeBr2 (SCAN)

Data for a PBEsol-optimized structure of TaTeBr2.

Unit cell a=7.2734 b=7.2734 c=7.2734 alpha=154.40 beta=139.98 gamma=48.11
Last column: nearest neighbours and their distance in Å.
Sites, in units of the cell vectors:
Ta1 0.0000 0.0000 0.0000  4 Br 2.67, 4 Te 2.96
Te1 0.5000 0.5000 0.0000  4 Ta 2.96, 2 Te 3.22, 4 Br 3.28
Br1 0.1605 0.6605 0.5000  2 Ta 2.67
Br2 0.8395 0.3395 0.5000  2 Ta 2.67

The density of states at the Fermi level comes out at 2.28 states/eV/f.u. Its uncorrected formation energy is -152 meV/atom. The energy relative to the lowest polymorph listed for this composition comes out at 0.0 kJ per mole of atoms. The calculation puts the mass density at 7.30 g cm⁻³. The calculation puts the raw total energy at -1.31710 hartree per atom.